No. 1
The following is a GGA-PBE calculation of a geometry-optimized Nd2S3O12 structure, from the Alexandria database.

As for the symmetry: No. 15. Its total moment is 0.0 Bohr magnetons per cell. Its crystal system is monoclinic. The value obtained for the raw formation energy is -36.2 eV/f.u.

The structure in POSCAR format:
```
Nd2S3O12
1.0
11.371 0.015 -0.020
9.367 6.447 -0.020
1.964 0.612 6.713
Nd S O
4 6 24
direct
0.223 0.513 0.634
0.487 0.777 0.866
0.777 0.487 0.366
0.513 0.223 0.134
0.663 0.337 0.250
0.337 0.663 0.750
0.000 0.367 0.818
0.633 0.000 0.682
0.000 0.633 0.182
0.367 0.000 0.318
0.588 0.523 0.144
0.477 0.412 0.356
0.412 0.477 0.856
0.523 0.588 0.644
0.152 0.143 0.868
0.857 0.848 0.632
0.848 0.857 0.132
0.143 0.152 0.368
0.807 0.241 0.390
0.759 0.193 0.110
0.536 0.158 0.808
0.842 0.464 0.692
0.464 0.842 0.192
0.158 0.536 0.308
0.400 0.103 0.214
0.897 0.600 0.286
0.600 0.897 0.786
0.103 0.400 0.714
0.481 0.869 0.502
0.131 0.519 0.998
0.519 0.131 0.498
0.869 0.481 0.002
0.241 0.807 0.890
0.193 0.759 0.610
```

---

No. 2
The following is a GGA-PBE calculation of a geometry-optimized Nd6SO8 structure, from the Alexandria database.

As for the symmetry: No. 148. Its total moment is 0.0 Bohr magnetons per cell. Its crystal system is trigonal. The value obtained for the raw formation energy is -48.0 eV/f.u.

The structure in POSCAR format:
```
Nd6SO8
1.0
6.775 0.000 0.000
3.387 5.867 0.000
3.387 1.956 6.358
Nd S O
6 1 8
direct
0.436 0.081 0.739
0.919 0.255 0.261
0.255 0.564 0.261
0.745 0.436 0.739
0.081 0.745 0.739
0.564 0.919 0.261
0.000 0.000 0.000
0.556 0.208 0.362
0.792 0.126 0.638
0.126 0.444 0.638
0.672 0.672 0.985
0.328 0.328 0.015
0.874 0.556 0.362
0.208 0.874 0.362
0.444 0.792 0.638
```